# 1
First-principles (GGA-PBE) data for TiInHg after structural relaxation, as listed in Alexandria via LeMat-Bulk.

a = 7.386 Å, b = 7.386 Å, c = 7.386 Å
α = 37.57°, β = 37.57°, γ = 37.57°
Element x y z (fractional)
1 Ti 0.066 0.066 0.066
2 Ti 0.934 0.934 0.934
3 In 0.362 0.362 0.362
4 In 0.638 0.638 0.638
5 Hg 0.205 0.205 0.205
6 Hg 0.795 0.795 0.795

Values from the calculation:
Energy of formation: 161 meV/atom
SG: R-3m
Electronic total energy: -3.484 eV/atom
Theoretical density: 8979 kg/m³
V: 134.4 Å³/cell

---

# 2
First-principles (GGA-PBE) data for LiS2NCl after structural relaxation, as listed in Alexandria via LeMat-Bulk.

a = 4.748 Å, b = 4.748 Å, c = 4.095 Å
α = 90.00°, β = 90.00°, γ = 90.00°
Element x y z (fractional)
1 Li 0.000 0.000 0.000
2 S 0.000 0.500 0.500
3 S 0.500 0.000 0.500
4 N 0.500 0.500 0.000
5 Cl 0.500 0.500 0.500

Values from the calculation:
SG: P4/mmm
Electronic total energy: -2.816 eV/atom
Theoretical density: 2168 kg/m³
Formation energy (no corrections): 1.25 eV per atom
V: 92.3 Å³/cell

---

> Look up the V of the second one.

92.3 Å³/cell